[1]
A plane-wave DFT calculation with PBE was carried out for a geometry-optimized MnCdW2 structure.

Cell lengths 3.832, 3.832, 4.398 Å; angles 90.00, 90.00, 90.00 degrees
Sites, in units of the cell vectors:
Mn1 0.000 0.000 0.000
Cd1 0.500 0.500 0.000
W1 0.000 0.500 0.500
W2 0.500 0.000 0.500

Properties
The value obtained for the total energy is -8.47 eV per atom. As for the space group: P4/mmm (123). The formation energy from the elements is 0.526 eV/atom. As for the crystal system: tetragonal. Its magnetic moment is 2.78 μB/cell.

***

[2]
A plane-wave DFT calculation with PBE was carried out for a geometry-optimized ScTcOsW structure.

Cell lengths 4.469, 4.469, 4.469 Å; angles 60.00, 60.00, 60.00 degrees
Sites, in units of the cell vectors:
Sc1 0.000 0.000 0.000
Tc1 0.750 0.750 0.750
Os1 0.250 0.250 0.250
W1 0.500 0.500 0.500

Properties
The value obtained for the total energy is -10.51 eV per atom. As for the space group: F-43m (216). The formation energy from the elements is -0.286 eV/atom. As for the crystal system: cubic. Its magnetic moment is 0.00 μB/cell.

***

[3]
A plane-wave DFT calculation with PBE was carried out for a geometry-optimized TmLuScMn structure.

Cell lengths 5.118, 5.118, 5.118 Å; angles 60.00, 60.00, 60.00 degrees
Sites, in units of the cell vectors:
Tm1 0.000 0.000 0.000
Lu1 0.500 0.500 0.500
Sc1 0.750 0.750 0.750
Mn1 0.250 0.250 0.250

Properties
The value obtained for the total energy is -5.91 eV per atom. As for the space group: F-43m (216). The formation energy from the elements is 0.214 eV/atom. As for the crystal system: cubic. Its magnetic moment is 2.17 μB/cell.

***

[4]
A plane-wave DFT calculation with PBE was carried out for a geometry-optimized Cr2MoRh8 structure.

Cell lengths 7.147, 7.147, 7.147 Å; angles 147.47, 126.18, 64.32 degrees
Sites, in units of the cell vectors:
Cr1 0.201 0.201 0.000
Cr2 0.799 0.799 0.000
Mo1 0.500 0.500 0.000
Rh1 0.057 0.347 0.710
Rh2 0.203 0.000 0.203
Rh3 0.344 0.844 0.500
Rh4 0.363 0.653 0.710
Rh5 0.637 0.347 0.290
Rh6 0.656 0.156 0.500
Rh7 0.797 0.000 0.797
Rh8 0.943 0.653 0.290

Properties
The value obtained for the total energy is -8.11 eV per atom. As for the space group: Immm (71). The formation energy from the elements is -0.028 eV/atom. As for the crystal system: orthorhombic. Its magnetic moment is 0.00 μB/cell.

***

[5]
A plane-wave DFT calculation with PBE was carried out for a geometry-optimized CdPF2 structure.

Cell lengths 5.479, 5.479, 5.479 Å; angles 103.30, 103.30, 122.68 degrees
Sites, in units of the cell vectors:
Cd1 0.000 0.000 0.000
Cd2 0.750 0.250 0.500
P1 0.250 0.750 0.500
P2 0.500 0.500 0.000
F1 0.176 0.625 0.051
F2 0.375 0.426 0.551
F3 0.574 0.125 0.949
F4 0.875 0.824 0.449

Properties
The value obtained for the total energy is -3.27 eV per atom. As for the space group: I-42d (122). As for the crystal system: tetragonal. Its magnetic moment is 0.00 μB/cell. Its uncorrected formation energy is -0.748 eV/atom. For the distance to the lowest polymorph of the same formula, the calculation gives 431 meV/atom.

***

[6]
A plane-wave DFT calculation with PBE was carried out for a geometry-optimized SrHg2SbH structure.

Cell lengths 6.741, 6.741, 6.212 Å; angles 90.00, 90.00, 90.00 degrees
Sites, in units of the cell vectors:
Sr1 0.000 0.000 0.000
Hg1 0.000 0.500 0.000
Hg2 0.500 0.000 0.000
Sb1 0.000 0.000 0.500
H1 0.500 0.500 0.500

Properties
The value obtained for the total energy is -1.32 eV per atom. As for the space group: P4/mmm (123). As for the crystal system: tetragonal. Its magnetic moment is 2.00 μB/cell. For the distance to the lowest polymorph of the same formula, the calculation gives 864 meV/atom.